A plane-wave DFT calculation with PBE was carried out for an optimized crystal structure of Cs3Tl4Bi4.

Output
The total magnetization comes out at 0.000 μB/atom. Its energy is -2.653 eV/atom. The value obtained for the formation energy is -1.6 eV per formula unit. Its energy above the lowest structure with this stoichiometry is 0.62 eV per formula unit.

Cell lengths 3.698, 6.745, 17.551 Å; angles 91.42, 83.94, 89.97 degrees
Fractional positions:
Cs: 0.144 0.617 0.710
Cs: 0.856 0.383 0.290
Bi: 0.319 0.871 0.366
Cs: 0.000 0.000 0.000
Bi: 0.681 0.129 0.634
Bi: 0.543 0.511 0.914
Tl: 0.593 0.075 0.813
Bi: 0.457 0.489 0.086
Tl: 0.407 0.925 0.187
Tl: 0.254 0.269 0.489
Tl: 0.747 0.731 0.511